[1]
# KNi2Hg GGA-PBE relaxed
data_KNi2Hg
_chemical_formula_sum 'K4 Ni8 Hg4'
_cell_length_a 4.7538
_cell_length_b 4.7538
_cell_length_c 18.2351
_cell_angle_alpha 90.00
_cell_angle_beta 90.00
_cell_angle_gamma 90.00
_space_group_name_H-M_alt 'I 41/a m d'
_space_group_IT_number 141
loop_
_space_group_symop_operation_xyz
'x,y,z'
'-x,-y,-z'
'-y+1/4,x+3/4,z+1/4'
'y+1/4,-x+3/4,-z+1/4'
'-x+1/2,-y,z+1/2'
'x+1/2,y,-z+1/2'
'y+1/4,-x+1/4,z+3/4'
'-y+1/4,x+1/4,-z+3/4'
'x,-y,-z'
'-x,y,z'
'-y+1/4,-x+1/4,-z+3/4'
'y+1/4,x+1/4,z+3/4'
'-x+1/2,y,-z+1/2'
'x+1/2,-y,z+1/2'
'y+1/4,x+3/4,-z+1/4'
'-y+1/4,-x+3/4,z+1/4'
'x+1/2,y+1/2,z+1/2'
'-x+1/2,-y+1/2,-z+1/2'
'-y+3/4,x+1/4,z+3/4'
'y+3/4,-x+1/4,-z+3/4'
'-x,-y+1/2,z'
'x,y+1/2,-z'
'y+3/4,-x+3/4,z+1/4'
'-y+3/4,x+3/4,-z+1/4'
'x+1/2,-y+1/2,-z+1/2'
'-x+1/2,y+1/2,z+1/2'
'-y+3/4,-x+3/4,-z+1/4'
'y+3/4,x+3/4,z+1/4'
'-x,y+1/2,-z'
'x,-y+1/2,z'
'y+3/4,x+1/4,-z+3/4'
'-y+3/4,-x+1/4,z+3/4'
loop_
_atom_site_label
_atom_site_fract_x
_atom_site_fract_y
_atom_site_fract_z
K1 0.0000 0.2500 0.3750
Ni1 0.0000 0.0000 0.0000
Hg1 0.0000 0.2500 0.8750
# Electronic total energy   -44.53 eV per cell

[2]
# MoOs2W GGA-PBE relaxed
data_MoOs2W
_chemical_formula_sum 'Mo1 Os2 W1'
_cell_length_a 2.7559
_cell_length_b 2.7559
_cell_length_c 8.0411
_cell_angle_alpha 90.00
_cell_angle_beta 90.00
_cell_angle_gamma 90.00
_space_group_name_H-M_alt 'P 4 m m'
_space_group_IT_number 99
loop_
_space_group_symop_operation_xyz
'x,y,z'
'-y,x,z'
'-x,-y,z'
'y,-x,z'
'-x,y,z'
'y,x,z'
'x,-y,z'
'-y,-x,z'
loop_
_atom_site_label
_atom_site_fract_x
_atom_site_fract_y
_atom_site_fract_z
Mo1 0.0000 0.0000 0.0000
Os1 0.0000 0.0000 0.4813
Os2 0.5000 0.5000 0.2477
W1 0.5000 0.5000 0.7297
# Electronic total energy   -45.61 eV per cell

[3]
# Co2AsOs GGA-PBE relaxed
data_Co2AsOs
_chemical_formula_sum 'Co4 As2 Os2'
_cell_length_a 8.2238
_cell_length_b 2.7505
_cell_length_c 4.5168
_cell_angle_alpha 90.00
_cell_angle_beta 98.13
_cell_angle_gamma 90.00
_space_group_name_H-M_alt 'C 1 m 1'
_space_group_IT_number 8
loop_
_space_group_symop_operation_xyz
'x,y,z'
'x,-y,z'
'x+1/2,y+1/2,z'
'x+1/2,-y+1/2,z'
loop_
_atom_site_label
_atom_site_fract_x
_atom_site_fract_y
_atom_site_fract_z
Co1 0.0000 0.0000 0.0000
Co2 0.2433 0.5000 0.2406
As1 0.4944 0.0000 0.4537
Os1 0.2591 0.0000 0.7708
# Electronic total energy   -58.48 eV per cell

[4]
# MgHgAs3 GGA-PBE relaxed
data_MgHgAs3
_chemical_formula_sum 'Mg1 Hg1 As3'
_cell_length_a 5.0199
_cell_length_b 5.0199
_cell_length_c 5.0199
_cell_angle_alpha 90.00
_cell_angle_beta 90.00
_cell_angle_gamma 90.00
_space_group_name_H-M_alt 'P m -3 m'
_space_group_IT_number 221
_space_group_name_Hall '-P 4 2 3'
loop_
_atom_site_label
_atom_site_fract_x
_atom_site_fract_y
_atom_site_fract_z
Mg1 0.0000 0.0000 0.0000
Hg1 0.5000 0.5000 0.5000
As1 0.0000 0.0000 0.5000
# Electronic total energy   -12.56 eV per cell

Copy entry 1 word for word.
# KNi2Hg GGA-PBE relaxed
data_KNi2Hg
_chemical_formula_sum 'K4 Ni8 Hg4'
_cell_length_a 4.7538
_cell_length_b 4.7538
_cell_length_c 18.2351
_cell_angle_alpha 90.00
_cell_angle_beta 90.00
_cell_angle_gamma 90.00
_space_group_name_H-M_alt 'I 41/a m d'
_space_group_IT_number 141
loop_
_space_group_symop_operation_xyz
'x,y,z'
'-x,-y,-z'
'-y+1/4,x+3/4,z+1/4'
'y+1/4,-x+3/4,-z+1/4'
'-x+1/2,-y,z+1/2'
'x+1/2,y,-z+1/2'
'y+1/4,-x+1/4,z+3/4'
'-y+1/4,x+1/4,-z+3/4'
'x,-y,-z'
'-x,y,z'
'-y+1/4,-x+1/4,-z+3/4'
'y+1/4,x+1/4,z+3/4'
'-x+1/2,y,-z+1/2'
'x+1/2,-y,z+1/2'
'y+1/4,x+3/4,-z+1/4'
'-y+1/4,-x+3/4,z+1/4'
'x+1/2,y+1/2,z+1/2'
'-x+1/2,-y+1/2,-z+1/2'
'-y+3/4,x+1/4,z+3/4'
'y+3/4,-x+1/4,-z+3/4'
'-x,-y+1/2,z'
'x,y+1/2,-z'
'y+3/4,-x+3/4,z+1/4'
'-y+3/4,x+3/4,-z+1/4'
'x+1/2,-y+1/2,-z+1/2'
'-x+1/2,y+1/2,z+1/2'
'-y+3/4,-x+3/4,-z+1/4'
'y+3/4,x+3/4,z+1/4'
'-x,y+1/2,-z'
'x,-y+1/2,z'
'y+3/4,x+1/4,-z+3/4'
'-y+3/4,-x+1/4,z+3/4'
loop_
_atom_site_label
_atom_site_fract_x
_atom_site_fract_y
_atom_site_fract_z
K1 0.0000 0.2500 0.3750
Ni1 0.0000 0.0000 0.0000
Hg1 0.0000 0.2500 0.8750
# Electronic total energy   -44.53 eV per cell

Look up the electronic total energy of the first one.
-44.53 eV per cell

Among the records above, which one has the highest electronic total energy?
MgHgAs3